Entry 1:
VASP calculation (GGA-PBE) on crystalline TiCd2O4 at its relaxed geometry.

Summary:
Distance to the lowest polymorph of the same formula: 0 meV/atom
Energy: -6.0760 eV/atom
Total moment: 0.0 μB per cell
Uncorrected formation energy: -12.974 eV per formula unit

abc: 6.1026 6.1026 6.8357
angles: 104.44 104.44 116.19
Element x y z (fractional)
O 0.8418 0.3194 0.0908
O 0.2513 0.2285 0.9086
O 0.3194 0.8418 0.5908
O 0.1582 0.6806 0.9092
O 0.6806 0.1582 0.4092
O 0.2285 0.2513 0.4086
O 0.7715 0.7487 0.5914
O 0.7487 0.7715 0.0914
Ti 0.8749 0.1251 0.2500
Ti 0.1251 0.8749 0.7500
Cd 0.5586 0.4414 0.2500
Cd 0.8090 0.1910 0.7500
Cd 0.1910 0.8090 0.2500
Cd 0.4414 0.5586 0.7500

Entry 2:
VASP calculation (GGA-PBE) on crystalline TiCdO3 at its relaxed geometry.

Summary:
Energy: -6.9977 eV/atom
Total moment: 0.0 μB per cell
Uncorrected formation energy: -11.304 eV per formula unit

abc: 5.8930 5.8930 5.8930
angles: 53.51 53.51 53.51
Element x y z (fractional)
Cd 0.6367 0.6367 0.6367
Cd 0.3633 0.3633 0.3633
O 0.8054 0.4371 0.0367
O 0.5629 0.9633 0.1946
O 0.4371 0.0367 0.8054
O 0.9633 0.1946 0.5629
O 0.1946 0.5629 0.9633
O 0.0367 0.8054 0.4371
Ti 0.1492 0.1492 0.1492
Ti 0.8508 0.8508 0.8508

> uncorrected formation energy of number 1 (TiCd2O4)?

-12.974 eV per formula unit